<one>
First-principles (PBE) data for CaNpF5 after structural relaxation, as listed in Alexandria.

Cell: 4.962 4.962 8.109 Å, 92.79 92.79 89.17°
Each line ends with the local moment (μB).
Atoms (fractional coordinates):
F 0.253 0.400 0.493  -0.01
F 0.747 0.600 0.507  -0.01
F 0.631 0.054 0.330  -0.01
F 0.369 0.946 0.670  -0.01
F 0.946 0.369 0.170  -0.01
F 0.400 0.253 0.993  -0.01
F 0.054 0.631 0.830  -0.01
F 0.600 0.747 0.007  -0.01
F 0.157 0.843 0.250  -0.01
F 0.843 0.157 0.750  -0.01
Ca 0.000 0.000 0.500  0.00
Ca 0.000 0.000 0.000  0.00
Np 0.502 0.498 0.750  3.96
Np 0.498 0.502 0.250  3.96

Calculated values
symmetry	C2/c
density of states at the Fermi level	9.03	states/eV/cell

---

<two>
First-principles (PBE) data for CaNpF5 after structural relaxation, as listed in Alexandria.

Cell: 6.093 6.093 8.512 Å, 69.98 69.98 72.34°
Each line ends with the local moment (μB).
Atoms (fractional coordinates):
F 0.138 0.862 0.750  -0.01
F 0.673 0.297 0.951  -0.01
F 0.862 0.138 0.250  -0.01
F 0.327 0.703 0.049  -0.01
F 0.703 0.327 0.549  -0.01
F 0.781 0.718 0.135  -0.01
F 0.219 0.282 0.865  -0.01
F 0.297 0.673 0.451  -0.01
F 0.718 0.781 0.635  -0.01
F 0.282 0.219 0.365  -0.01
Np 0.000 0.000 0.000  3.97
Np 0.000 0.000 0.500  3.97
Ca 0.528 0.472 0.250  0.00
Ca 0.472 0.528 0.750  0.00

Calculated values
symmetry	C2/c
density of states at the Fermi level	6.80	states/eV/cell

---

The most stable of them is <two>.

---

<one>
First-principles (PBE) data for Ca2OF after structural relaxation, as listed in Alexandria.

Cell: 4.236 4.236 4.236 Å, 60.00 60.00 60.00°
Each line ends with the local moment (μB).
Atoms (fractional coordinates):
Ca 0.250 0.250 0.250  0.17
Ca 0.750 0.750 0.750  0.17
O 0.000 0.000 0.000  -0.01
F 0.500 0.500 0.500  0.00

Calculated values
symmetry	Fm-3m
density of states at the Fermi level	3.09	states/eV/cell

---

<two>
First-principles (PBE) data for Ca2OF after structural relaxation, as listed in Alexandria.

Cell: 5.493 5.493 6.644 Å, 65.58 65.58 90.00°
Atoms (fractional coordinates):
Ca 0.595 0.125 0.250
Ca 0.875 0.845 0.750
Ca 0.375 0.405 0.750
Ca 0.155 0.625 0.250
F 0.000 0.000 0.000
F 0.750 0.250 0.500
O 0.250 0.750 0.500
O 0.500 0.500 0.000

Calculated values
symmetry	I-42d
density of states at the Fermi level	2.73	states/eV/cell

---

<three>
First-principles (PBE) data for Ca2OF after structural relaxation, as listed in Alexandria.

Cell: 3.518 3.518 6.152 Å, 73.39 73.39 60.00°
Atoms (fractional coordinates):
F 0.500 0.500 0.500
O 0.000 0.000 0.000
Ca 0.258 0.258 0.227
Ca 0.742 0.742 0.773

Calculated values
symmetry	R-3m
density of states at the Fermi level	2.06	states/eV/cell

---

<four>
First-principles (PBE) data for Ca2OF after structural relaxation, as listed in Alexandria.

Cell: 3.558 3.558 8.001 Å, 77.15 77.15 60.00°
Atoms (fractional coordinates):
O 0.682 0.682 0.954
Ca 0.078 0.078 0.767
Ca 0.291 0.291 0.126
F 0.449 0.449 0.653

Calculated values
symmetry	R3m
density of states at the Fermi level	0.89	states/eV/cell

---

The most stable of them is <four>.